# PBE DyCdPtO6, relaxed
data_DyCdPtO6
_chemical_formula_sum 'Dy2 Cd2 Pt2 O12'
_cell_length_a 5.6264
_cell_length_b 5.6264
_cell_length_c 8.8588
_cell_angle_alpha 90.00
_cell_angle_beta 90.00
_cell_angle_gamma 120.00
_symmetry_space_group_name_H-M 'P -3 1 c'
_symmetry_Int_Tables_number 163
_symmetry_space_group_name_Hall '-P 3 2c'
loop_
_atom_site_label
_atom_site_fract_x
_atom_site_fract_y
_atom_site_fract_z
_atom_site_occupancy
Dy1 0.3333 0.6667 0.2500 1
Cd1 0.0000 0.0000 0.0000 1
Pt1 0.3333 0.6667 0.7500 1
O1 0.0387 0.3802 0.6267 1
# ΔE_f (raw)	-10.64	eV/f.u.